PBE EuTm2Hg, relaxed; space group = P4/mmm, No. 123; energy of formation from the pure elements = -0.63 eV/f.u.; ΔE to the lowest computed polymorph = 0.000 eV/atom
1.0
-1.898 2.421 -1.860
-0.368 -2.356 -2.690
-7.803 -3.166 3.838
Eu Tm Hg
1 2 1
Cartesian
-5.034 -1.551 -0.356
-6.189 -2.511 3.044
-1.614 -0.655 0.794
-1.133 0.033 -2.275


PBE La2InP, relaxed; space group = I-4m2, No. 119; energy of formation from the pure elements = -2.48 eV/f.u.; ΔE to the lowest computed polymorph = 0.336 eV/atom
1.0
6.314 -0.016 0.000
3.156 5.469 0.000
-4.735 -2.726 3.164
In La P
1 2 1
Cartesian
3.157 -0.008 1.582
0.000 0.000 0.000
1.578 2.734 1.582
4.735 2.726 0.000


PBE TmThMg2Pd4, relaxed; space group = R-3m, No. 166; energy of formation from the pure elements = -6.25 eV/f.u.
1.0
-0.848 1.174 -4.387
-3.841 -1.492 -2.090
-5.789 6.977 0.552
Tm Th Mg Pd
1 1 2 4
Cartesian
-5.239 3.330 -2.962
0.000 0.000 0.000
-7.769 4.845 -4.501
-2.708 1.814 -1.424
-6.636 5.672 -2.065
-6.166 2.159 -5.529
-4.311 4.501 -0.396
-3.841 0.987 -3.859


PBE Sc2Ag2Ge, relaxed; space group = P4/mbm, No. 127; energy of formation from the pure elements = -0.62 eV/f.u.; ΔE to the lowest computed polymorph = 0.117 eV/atom
1.0
7.545 0.000 0.000
0.000 7.545 0.000
0.000 0.000 3.715
Sc Ge Ag
4 2 4
Cartesian
2.538 6.311 0.000
6.311 5.007 0.000
5.007 1.234 0.000
1.234 2.538 0.000
0.000 0.000 0.000
3.773 3.773 0.000
1.002 4.775 1.857
4.775 6.543 1.857
6.543 2.770 1.857
2.770 1.002 1.857


PBE Tb2IrO, relaxed; space group = R-3m, No. 166; formation energy (no corrections) = -1598 meV/atom; ΔE to the lowest computed polymorph = 0.000 eV/atom
1.0
3.659 0.000 0.000
1.829 3.169 0.000
1.829 1.056 6.577
Ir Tb O
1 2 1
Cartesian
0.000 0.000 0.000
5.488 3.169 4.755
1.829 1.056 1.822
3.659 2.113 3.288


PBE Ca3HfRe, relaxed; space group = Pm-3m, No. 221; energy of formation from the pure elements = 6.38 eV/f.u.
1.0
-0.026 -1.343 -5.251
1.355 -5.086 1.294
-5.248 -1.306 0.360
Re Ca Hf
1 3 1
Cartesian
0.000 0.000 0.000
0.677 -2.543 0.647
-2.624 -0.653 0.180
-0.013 -0.671 -2.625
-1.959 -3.867 -1.799


PBE Tb4YEr3S8, relaxed; space group = R-3m, No. 166; formation energy (no corrections) = -1983 meV/atom
1.0
-1.520 -6.768 3.565
5.423 -3.526 -4.383
1.883 6.289 4.211
Tb Y Er S
4 1 3 8
Cartesian
-0.760 -3.384 1.783
0.182 -0.239 3.888
0.000 0.000 0.000
0.942 3.145 2.106
2.712 -1.763 -2.191
1.952 -5.147 -0.409
2.893 -2.003 1.697
3.653 1.382 -0.086
5.537 1.944 1.817
4.603 -1.177 -0.274
1.958 0.561 1.899
4.783 -1.415 3.586
1.004 -2.590 -0.192
3.829 -4.566 1.495
1.184 -2.828 3.667
0.250 -5.949 1.577


PBE Na3Np2Te6Au, relaxed; space group = C2/m, No. 12; formation energy (no corrections) = -630 meV/atom
1.0
-1.155 1.848 7.251
-5.866 -1.939 -4.376
3.242 -7.182 1.025
Na Np Te Au
3 2 6 1
Cartesian
-3.465 -4.903 -1.939
-0.314 -2.370 5.839
-1.890 -3.637 1.950
-4.297 -0.678 -0.504
-2.724 0.586 3.379
-2.038 -4.979 4.897
-4.476 -1.713 2.371
-1.742 -2.294 -0.997
-3.601 -6.236 1.040
0.696 -5.560 1.529
-0.179 -1.038 2.860
0.000 0.000 0.000


PBE Sm2InCl, relaxed; space group = P4/mmm, No. 123; formation energy (no corrections) = -832 meV/atom; ΔE to the lowest computed polymorph = 0.035 eV/atom
1.0
3.476 0.000 0.000
0.000 3.476 0.000
0.000 0.000 8.485
Cl Sm In
1 2 1
Cartesian
1.738 1.738 0.000
0.000 0.000 6.387
0.000 0.000 2.099
1.738 1.738 4.243


PBE LaTbHo5Th2, relaxed; space group = I4/mcm, No. 140; energy of formation from the pure elements = 2.94 eV/f.u.
1.0
-0.897 6.147 6.402
-8.429 1.425 -2.550
2.303 -9.140 2.883
La Tb Ho Th
2 2 10 4
Cartesian
-1.180 -2.677 2.405
-5.843 1.109 4.331
-5.395 -1.964 1.130
-1.629 0.397 5.606
-3.829 3.845 5.639
-0.245 -2.388 5.911
-3.194 -5.413 1.097
0.942 -5.587 2.933
-4.381 -2.214 4.075
-7.965 4.019 3.803
-2.642 0.647 2.661
-6.779 0.821 0.825
-4.663 3.786 1.926
0.000 0.000 0.000
-3.322 1.272 -0.214
-1.554 3.971 3.658
-7.773 3.601 0.195
-6.005 6.300 4.066


PBE LiCaFe, relaxed; space group = Cm, No. 8; energy of formation from the pure elements = 0.79 eV/f.u.; ΔE to the lowest computed polymorph = 0.009 eV/atom
1.0
5.980 0.000 0.129
0.000 3.887 0.000
-0.288 0.000 11.074
Li Ca Fe
4 4 4
Cartesian
3.537 0.000 4.281
3.394 1.943 9.818
5.199 0.000 9.063
5.343 1.943 3.526
0.757 0.000 5.700
0.901 1.943 0.164
3.748 0.000 1.373
3.604 1.943 6.910
0.980 0.000 2.614
0.836 1.943 8.151
1.914 0.000 8.807
2.058 1.943 3.270


PBE Ba2PaSe2S2, relaxed; space group = I4/mmm, No. 139; formation energy (no corrections) = -1844 meV/atom
1.0
5.261 0.000 0.000
0.000 5.261 0.000
-2.631 -2.631 8.264
Ba Pa Se S
2 1 2 2
Cartesian
0.000 0.000 6.037
2.631 2.631 2.226
0.000 0.000 0.000
0.000 0.000 2.809
2.631 2.631 5.454
0.000 2.631 0.000
2.631 0.000 0.000


PBE Pr2ZrTl, relaxed; space group = R-3m, No. 166; energy of formation from the pure elements = 1.02 eV/f.u.; ΔE to the lowest computed polymorph = 0.315 eV/atom
1.0
3.390 0.000 0.000
1.695 2.936 0.000
1.695 0.979 12.055
Pr Tl Zr
2 1 1
Cartesian
1.695 0.979 8.894
5.085 2.936 3.162
3.390 1.957 6.028
0.000 0.000 0.000


PBE PmScAgAu, relaxed; space group = F-43m, No. 216; energy of formation from the pure elements = -1.98 eV/f.u.; ΔE to the lowest computed polymorph = 0.038 eV/atom
1.0
5.057 0.000 0.000
2.529 4.380 0.000
2.529 1.460 4.129
Sc Au Ag Pm
1 1 1 1
Cartesian
5.057 2.920 2.065
2.529 1.460 1.032
7.586 4.380 3.097
0.000 0.000 0.000


PBE Pm6Sm3Dy2Pb, relaxed; space group = C2/m, No. 12; energy of formation from the pure elements = -0.56 eV/f.u.
1.0
-1.273 -2.323 -5.647
3.704 -3.140 3.915
-10.144 -3.684 4.965
Pm Sm Dy Pb
6 3 2 1
Cartesian
-6.629 -6.772 0.878
-0.680 -5.042 -0.077
-1.085 -2.376 2.355
-5.005 -7.038 3.997
-7.033 -4.106 3.310
-2.708 -2.109 -0.764
-2.210 -4.844 4.780
-5.503 -4.303 -1.547
-3.857 -4.574 1.617
2.039 -2.867 0.716
0.392 -2.596 -2.448
0.000 0.000 0.000


PBE SrTiAs3, relaxed; space group = Pm-3m, No. 221; energy of formation from the pure elements = 5.68 eV/f.u.; ΔE to the lowest computed polymorph = 1.733 eV/atom
1.0
5.435 0.000 0.000
0.000 5.435 0.000
0.000 0.000 5.435
Sr As Ti
1 3 1
Cartesian
0.000 0.000 0.000
0.000 2.718 0.000
0.000 0.000 2.718
2.718 0.000 0.000
2.718 2.718 2.718


PBE TiAlCrNi, relaxed; space group = F-43m, No. 216; energy of formation from the pure elements = -0.88 eV/f.u.
1.0
4.217 0.000 0.000
2.109 3.652 0.000
2.109 1.217 3.443
Ni Ti Al Cr
1 1 1 1
Cartesian
6.326 3.652 2.583
0.000 0.000 0.000
4.217 2.435 1.722
2.109 1.217 0.861


PBE AcPr6Ho5, relaxed; space group = C2/m, No. 12; energy of formation from the pure elements = 0.32 eV/f.u.
1.0
-7.931 -4.273 8.012
3.737 -0.501 5.109
0.569 4.891 4.009
Pr Ac Ho
6 1 5
Cartesian
-5.404 -1.581 7.753
0.336 0.268 6.348
-0.515 3.675 7.339
-3.109 -3.557 9.791
-3.960 -0.151 10.783
1.780 1.698 9.378
0.000 0.000 0.000
-2.962 1.036 7.529
1.436 1.461 3.039
-2.097 -2.387 6.561
-5.060 -1.344 14.092
-0.662 -0.919 9.602


PBE GdTlRh, relaxed; space group = I4mm, No. 107; energy of formation from the pure elements = -1.21 eV/f.u.; ΔE to the lowest computed polymorph = 0.050 eV/atom
1.0
3.521 0.000 0.000
0.000 3.521 0.000
-1.761 -1.761 5.400
Tl Gd Rh
1 1 1
Cartesian
1.761 1.761 1.472
1.761 1.761 4.640
0.000 0.000 3.067


PBE Mg2AgBr, relaxed; space group = R-3m, No. 166; formation energy (no corrections) = -401 meV/atom; ΔE to the lowest computed polymorph = 0.055 eV/atom
1.0
8.556 0.032 0.019
7.829 3.450 0.019
7.829 1.664 3.023
Ag Br Mg
1 1 2
Cartesian
6.054 1.287 0.765
18.161 3.860 2.296
24.162 5.135 3.054
12.159 2.584 1.537


What did we get for calculated volume? Answer: 119.6 109.4 160.5 211.5 76.3 159.2 336.4 374.6 102.5 602.8 257.5 228.8 120.0 91.5 393.4 160.6 53.0 414.5 67.0 87.9 Å³ per cell, in the order shown.